(1)
DFT (GGA-PBE) results for a geometry-optimized CaTi4P6O24 structure.

* formation energy (no corrections): -2.62 eV per atom
* magnetization: 0.0 μB per cell

The structure in POSCAR format:
```
CaTi4P6O24
1.0
4.284 2.473 7.360
-4.284 2.473 7.360
0.000 -4.946 7.360
Ca Ti P O
1 4 6 24
direct
0.000 0.000 0.000
0.148 0.148 0.148
0.360 0.360 0.360
0.640 0.640 0.640
0.852 0.852 0.852
0.030 0.753 0.460
0.247 0.540 0.970
0.460 0.030 0.753
0.540 0.970 0.247
0.753 0.460 0.030
0.970 0.247 0.540
0.005 0.197 0.379
0.081 0.911 0.266
0.089 0.734 0.919
0.151 0.256 0.515
0.197 0.379 0.005
0.198 0.564 0.461
0.256 0.515 0.151
0.266 0.081 0.911
0.379 0.005 0.197
0.436 0.539 0.802
0.461 0.198 0.564
0.485 0.849 0.744
0.515 0.151 0.256
0.539 0.802 0.436
0.564 0.461 0.198
0.621 0.995 0.803
0.734 0.919 0.089
0.744 0.485 0.849
0.802 0.436 0.539
0.803 0.621 0.995
0.849 0.744 0.485
0.911 0.266 0.081
0.919 0.089 0.734
0.995 0.803 0.621
```

---

(2)
DFT (GGA-PBE) results for a geometry-optimized Mg2ZrNbTe structure.

* formation energy (no corrections): 0.87 eV per atom
* magnetization: 0.0 μB per cell

The structure in POSCAR format:
```
Mg2ZrNbTe
1.0
5.152 0.000 0.000
0.000 5.152 0.000
0.000 0.000 5.129
Mg Zr Nb Te
2 1 1 1
direct
0.000 0.500 0.000
0.500 0.000 0.000
0.000 0.000 0.500
0.500 0.500 0.000
0.500 0.500 0.500
```